Below is a geometry-optimized HfAgPd structure, with properties calculated at the PBE-GGA level.

## Properties
**DFT total energy**: -6.409 eV per atom
**Polymorph energy (0 for the lowest one)**: 79 meV per atom

Lattice parameters (Å, degrees): 3.3935 14.1556 4.5447 90.00 90.00 90.00
Closest atoms and distances in Å follow each position.
Element x y z (fractional)
Hf1 0.0000 0.5909 0.2500  6 Pd 2.77-2.86, 4 Ag 3.01-3.04
Hf2 0.0000 0.4091 0.7500  6 Pd 2.77-2.86, 4 Ag 3.01-3.04
Hf3 0.5000 0.0909 0.2500  6 Pd 2.77-2.86, 4 Ag 3.01-3.04
Hf4 0.5000 0.9091 0.7500  6 Pd 2.77-2.86, 4 Ag 3.01-3.04
Ag1 0.0000 0.2669 0.2500  4 Ag 2.88, 2 Pd 2.94, 4 Hf 3.01-3.04
Ag2 0.0000 0.7331 0.7500  4 Ag 2.88, 2 Pd 2.94, 4 Hf 3.01-3.04
Ag3 0.5000 0.7669 0.2500  4 Ag 2.88, 2 Pd 2.94, 4 Hf 3.01-3.04
Ag4 0.5000 0.2331 0.7500  4 Ag 2.88, 2 Pd 2.94, 4 Hf 3.01-3.04
Pd1 0.0000 0.9364 0.2500  6 Hf 2.77-2.86, 2 Pd 2.90, 2 Ag 2.94
Pd2 0.0000 0.0636 0.7500  6 Hf 2.77-2.86, 2 Pd 2.90, 2 Ag 2.94
Pd3 0.5000 0.4364 0.2500  6 Hf 2.77-2.86, 2 Pd 2.90, 2 Ag 2.94
Pd4 0.5000 0.5636 0.7500  6 Hf 2.77-2.86, 2 Pd 2.90, 2 Ag 2.94